[1]
Nd2SmB9 | PBE | relaxed

Results
space group: No. 166
E_form: -0.111 eV/atom

```
Nd2SmB9
1.0
4.480 0.000 0.000
2.240 3.880 0.000
2.240 1.293 9.764
B Sm Nd
9 1 2
Direct
0.606 0.969 0.818
0.394 0.394 0.182
0.031 0.394 0.182
0.602 0.602 0.194
0.606 0.606 0.818
0.969 0.606 0.818
0.394 0.031 0.182
0.398 0.398 0.806
0.500 0.500 0.500
0.000 0.000 0.000
0.883 0.883 0.351
0.117 0.117 0.649
```

[2]
Mg2VPd2 | PBE | relaxed

Results
space group: No. 127
E_form: -0.203 eV/atom

```
Mg2VPd2
1.0
-3.389 6.536 1.791
-6.680 -2.883 -2.118
-0.442 -0.974 2.719
Pd V Mg
4 2 4
Direct
0.333 0.167 0.500
0.667 0.833 0.500
0.167 0.667 0.500
0.833 0.333 0.500
0.500 0.500 0.000
0.000 0.000 0.000
0.867 0.633 0.000
0.133 0.367 0.000
0.367 0.867 0.000
0.633 0.133 0.000
```